(1)
## Pm3ZnPb3 (PBE)

Data for a relaxed structure of Pm3ZnPb3.

## Properties
Its calculated density is 9.28 g/cm³. Its energy of formation is -3.40 eV/f.u. The value obtained for the final energy is -4.29 eV per atom. Its density of states at the Fermi level is 10.5 states/eV per cell.

Cell and atoms, written as POSCAR:
```
Pm3ZnPb3
1.0
4.544 0.000 0.684
2.231 5.910 0.616
0.067 0.317 14.983
Pm Pb Zn
6 6 2
Cartesian
2.500 1.920 14.251
1.752 1.434 3.792
3.680 3.984 6.424
3.162 2.243 9.860
5.089 4.793 12.491
4.341 4.307 2.032
2.473 5.116 14.433
0.567 1.566 11.664
1.249 1.554 7.135
5.593 4.673 9.148
4.368 1.111 1.851
6.275 4.661 4.619
3.121 5.614 10.135
3.721 0.613 6.149
```

(2)
## Sc2VAg (PBE)

Data for a relaxed structure of Sc2VAg.

## Properties
Its calculated density is 5.22 g/cm³. Its energy of formation is 0.18 eV/f.u. The value obtained for the final energy is -6.11 eV per atom. Its density of states at the Fermi level is 3.4 states/eV per cell.

Cell and atoms, written as POSCAR:
```
Sc2VAg
1.0
-1.166 1.732 4.344
-4.496 -0.496 1.665
-0.902 -3.029 3.639
V Sc Ag
1 2 1
Cartesian
0.000 0.000 0.000
-4.923 -1.345 7.236
-1.641 -0.448 2.412
-3.282 -0.897 4.824
```

(3)
## ZnW2Cl (PBE)

Data for a relaxed structure of ZnW2Cl.

## Properties
Its calculated density is 12.97 g/cm³. The value obtained for the final energy is -6.12 eV per atom. Its density of states at the Fermi level is 7.4 states/eV per cell.

Cell and atoms, written as POSCAR:
```
ZnW2Cl
1.0
0.000 3.107 3.107
3.107 0.000 3.107
3.107 3.107 0.000
W Zn Cl
2 1 1
Cartesian
1.553 1.553 1.553
4.660 4.660 4.660
3.107 3.107 3.107
0.000 0.000 0.000
```

(4)
## Si2HgSb2 (PBE)

Data for a relaxed structure of Si2HgSb2.

## Properties
Its calculated density is 7.21 g/cm³. The value obtained for the final energy is -3.47 eV per atom. Its density of states at the Fermi level is 4.3 states/eV per cell.

Cell and atoms, written as POSCAR:
```
Si2HgSb2
1.0
-5.845 4.597 -2.824
-2.936 0.784 7.351
2.074 2.952 0.514
Sb Si Hg
4 4 2
Cartesian
-5.277 5.156 4.602
-1.806 2.711 4.642
-4.900 5.622 0.399
-1.430 3.177 0.439
-4.744 2.400 5.365
-4.037 2.982 -0.838
-6.943 4.505 2.143
-1.837 0.876 2.384
0.000 0.000 0.000
-4.390 2.691 2.263
```

(5)
## Ho2CuOs (PBE)

Data for a relaxed structure of Ho2CuOs.

## Properties
Its calculated density is 11.99 g/cm³. Its energy of formation is -1.07 eV/f.u. The value obtained for the final energy is -6.39 eV per atom. Its density of states at the Fermi level is 2.5 states/eV per cell.

Cell and atoms, written as POSCAR:
```
Ho2CuOs
1.0
-1.299 -3.113 -0.380
0.968 -0.789 3.157
-6.164 2.272 2.458
Ho Cu Os
2 1 1
Cartesian
-1.467 0.541 0.585
-4.697 1.731 1.873
-3.248 -0.815 2.617
-0.166 -1.951 1.389
```

(6)
## VFePt (PBE)

Data for a relaxed structure of VFePt.

## Properties
Its calculated density is 11.97 g/cm³. Its energy of formation is -0.49 eV/f.u. The value obtained for the final energy is -8.04 eV per atom. Its density of states at the Fermi level is 2.2 states/eV per cell.

Cell and atoms, written as POSCAR:
```
VFePt
1.0
-0.500 2.536 -0.456
-2.362 -1.080 -3.417
-1.841 0.331 3.863
Pt Fe V
1 1 1
Cartesian
-2.272 -0.186 -1.066
-0.083 0.422 -0.076
-2.348 1.552 1.132
```

(7)
## Er3MgAl2 (PBE)

Data for a relaxed structure of Er3MgAl2.

## Properties
Its calculated density is 6.78 g/cm³. Its energy of formation is -1.87 eV/f.u. The value obtained for the final energy is -4.11 eV per atom. Its density of states at the Fermi level is 6.4 states/eV per cell.

Cell and atoms, written as POSCAR:
```
Er3MgAl2
1.0
-4.534 2.367 0.186
0.569 -4.613 2.144
3.275 5.424 10.804
Er Mg Al
6 2 4
Cartesian
-2.577 0.465 1.684
-0.925 3.201 7.135
2.476 4.100 8.166
0.800 1.324 2.638
1.887 2.714 11.450
0.234 -0.023 5.999
-1.751 1.833 4.409
1.061 1.345 8.725
-0.565 -1.347 3.363
0.000 0.000 0.000
-0.125 4.525 9.771
1.638 2.712 5.402
```

(8)
## K2RbPtF8 (PBE)

Data for a relaxed structure of K2RbPtF8.

## Properties
Its calculated density is 2.72 g/cm³. The value obtained for the final energy is -3.98 eV per atom. Its density of states at the Fermi level is 26.7 states/eV per cell.

Cell and atoms, written as POSCAR:
```
K2RbPtF8
1.0
-6.856 -0.705 -1.270
2.808 -2.846 5.756
-1.324 6.196 3.709
F Pt K Rb
8 1 2 1
Cartesian
1.352 -1.575 5.447
-6.723 4.220 2.748
-5.000 2.474 6.281
-2.515 4.653 3.528
-4.194 1.198 2.639
-1.178 1.447 5.557
-2.857 -2.008 4.668
-0.372 0.172 1.914
0.000 0.000 0.000
-4.646 3.315 3.906
-0.726 -0.670 4.290
-0.662 3.098 1.855
```